# 1
## LiInTc2 (meta-GGA SCAN)

Data for a crystal of LiInTc2 relaxed with PBEsol.

Lattice parameters (Å, degrees): 6.1694 6.1694 6.1694 90.00 90.00 90.00
Last column: nearest neighbours and their distance in Å.
Atoms (fractional coordinates):
Li  0.0000  0.0000  0.0000  4 Tc 2.67, 4 In 2.67
Li  0.0000  0.5000  0.5000  4 Tc 2.67, 4 In 2.67
Li  0.5000  0.0000  0.5000  4 Tc 2.67, 4 In 2.67
Li  0.5000  0.5000  0.0000  4 Tc 2.67, 4 In 2.67
In  0.2500  0.2500  0.7500  4 Li 2.67, 4 Tc 2.67
In  0.2500  0.7500  0.2500  4 Li 2.67, 4 Tc 2.67
In  0.7500  0.2500  0.2500  4 Li 2.67, 4 Tc 2.67
In  0.7500  0.7500  0.7500  4 Li 2.67, 4 Tc 2.67
Tc  0.0000  0.0000  0.5000  4 In 2.67, 4 Tc 2.67
Tc  0.0000  0.5000  0.0000  4 In 2.67, 4 Tc 2.67
Tc  0.2500  0.2500  0.2500  4 Li 2.67, 4 Tc 2.67
Tc  0.2500  0.7500  0.7500  4 Li 2.67, 4 Tc 2.67
Tc  0.5000  0.0000  0.0000  4 In 2.67, 4 Tc 2.67
Tc  0.5000  0.5000  0.5000  4 In 2.67, 4 Tc 2.67
Tc  0.7500  0.2500  0.7500  4 Li 2.67, 4 Tc 2.67
Tc  0.7500  0.7500  0.2500  4 Li 2.67, 4 Tc 2.67

Summary:
The total energy comes out at -1.94528 Ry/atom. The calculation puts the formation energy from the elements at 0.0072 eV/atom. As for the space group: F-43m, No. 216.

# 2
## GeBTeAu2 (meta-GGA SCAN)

Data for a crystal of GeBTeAu2 relaxed with PBEsol.

Lattice parameters (Å, degrees): 5.1011 5.1011 5.5364 90.00 90.00 90.00
Last column: nearest neighbours and their distance in Å.
Atoms (fractional coordinates):
Ge  0.0000  0.0000  0.0000  2 Te 2.77
B  0.5000  0.5000  0.0000  4 Ge 3.61, 8 Au 3.76
Te  0.0000  0.0000  0.5000  4 Au 2.55, 2 Ge 2.77
Au  0.0000  0.5000  0.5000  2 Te 2.55
Au  0.5000  0.0000  0.5000  2 Te 2.55

Summary:
The total energy comes out at -2.85009 Ry/atom. As for the space group: P4/mmm, No. 123.

# 3
## ZnRh2Au (meta-GGA SCAN)

Data for a crystal of ZnRh2Au relaxed with PBEsol.

Lattice parameters (Å, degrees): 2.7488 2.7488 26.2099 90.00 90.00 120.00
Last column: nearest neighbours and their distance in Å.
Atoms (fractional coordinates):
Zn  0.0000  0.0000  0.0000  3 Rh 2.60, 3 Au 2.74, 6 Zn 2.75
Zn  0.3333  0.6667  0.6667  3 Rh 2.60, 3 Au 2.74, 6 Zn 2.75
Zn  0.6667  0.3333  0.3333  3 Rh 2.60, 3 Au 2.74, 6 Zn 2.75
Rh  0.0000  0.0000  0.4920  9 Rh 2.63-2.75, 3 Au 2.83
Rh  0.0000  0.0000  0.7451  3 Zn 2.60, 9 Rh 2.63-2.75
Rh  0.3333  0.6667  0.1586  9 Rh 2.63-2.75, 3 Au 2.83
Rh  0.3333  0.6667  0.4117  3 Zn 2.60, 9 Rh 2.63-2.75
Rh  0.6667  0.3333  0.0784  3 Zn 2.60, 9 Rh 2.63-2.75
Rh  0.6667  0.3333  0.8253  9 Rh 2.63-2.75, 3 Au 2.83
Au  0.0000  0.0000  0.2481  3 Zn 2.74, 6 Au 2.75, 3 Rh 2.83
Au  0.3333  0.6667  0.9148  3 Zn 2.74, 6 Au 2.75, 3 Rh 2.83
Au  0.6667  0.3333  0.5815  3 Zn 2.74, 6 Au 2.75, 3 Rh 2.83

Summary:
The total energy comes out at -2.76431 Ry/atom. The calculation puts the formation energy from the elements at -0.0566 eV/atom. As for the space group: R3m, No. 160.

# 4
## ReAsRu2 (meta-GGA SCAN)

Data for a crystal of ReAsRu2 relaxed with PBEsol.

Lattice parameters (Å, degrees): 4.4957 4.4957 2.8225 90.00 90.00 90.00
Last column: nearest neighbours and their distance in Å.
Atoms (fractional coordinates):
Re  0.0000  0.0000  0.0000  8 Ru 2.65, 2 Re 2.82
As  0.5000  0.5000  0.0000  8 Ru 2.65, 2 As 2.82
Ru  0.0000  0.5000  0.5000  4 As 2.65, 4 Re 2.65, 2 Ru 2.82
Ru  0.5000  0.0000  0.5000  4 As 2.65, 4 Re 2.65, 2 Ru 2.82

Summary:
The total energy comes out at -2.93171 Ry/atom. The calculation puts the formation energy from the elements at 0.3472 eV/atom. As for the space group: P4/mmm, No. 123.

# 5
## ReNiMo2 (meta-GGA SCAN)

Data for a crystal of ReNiMo2 relaxed with PBEsol.

Lattice parameters (Å, degrees): 8.8900 2.6828 4.7599 90.00 98.60 90.00
Last column: nearest neighbours and their distance in Å.
Atoms (fractional coordinates):
Re  0.0000  0.0000  0.0000  7 Mo 2.61-2.82, 3 Ni 2.62-2.76, 2 Re 2.68
Re  0.5000  0.5000  0.0000  7 Mo 2.61-2.82, 3 Ni 2.62-2.76, 2 Re 2.68
Ni  0.2368  0.5000  0.2431  3 Re 2.62-2.76, 7 Mo 2.63-2.75, 2 Ni 2.68
Ni  0.7368  0.0000  0.2431  3 Re 2.62-2.76, 7 Mo 2.63-2.75, 2 Ni 2.68
Mo  0.2409  0.0000  0.7481  3 Re 2.61-2.78, 5 Mo 2.65-2.83, 4 Ni 2.72-2.75
Mo  0.4790  0.0000  0.4746  3 Ni 2.63-2.69, 5 Mo 2.65-2.83, 4 Re 2.66-2.82
Mo  0.7409  0.5000  0.7481  3 Re 2.61-2.78, 5 Mo 2.65-2.83, 4 Ni 2.72-2.75
Mo  0.9790  0.5000  0.4746  3 Ni 2.63-2.69, 5 Mo 2.65-2.83, 4 Re 2.66-2.82

Summary:
The total energy comes out at -2.87363 Ry/atom. The calculation puts the formation energy from the elements at 0.1626 eV/atom. The energy above the most stable polymorph in this dataset comes out at 120 meV/atom. As for the space group: Cm, No. 8.

# 6
## LiPdIO2 (meta-GGA SCAN)

Data for a crystal of LiPdIO2 relaxed with PBEsol.

Lattice parameters (Å, degrees): 3.8935 3.8935 5.8008 90.00 90.00 90.00
Last column: nearest neighbours and their distance in Å.
Atoms (fractional coordinates):
Li  0.0000  0.0000  0.0000  4 I 2.75
Pd  0.5000  0.5000  0.5000  4 O 1.95
I  0.5000  0.5000  0.0000  4 Li 2.75, 2 Pd 2.90
O  0.0000  0.5000  0.5000  2 Pd 1.95
O  0.5000  0.0000  0.5000  2 Pd 1.95

Summary:
The total energy comes out at -1.26800 Ry/atom. As for the space group: P4/mmm, No. 123.

# 7
## SrLu2Se4 (meta-GGA SCAN)

Data for a crystal of SrLu2Se4 relaxed with PBEsol.

Lattice parameters (Å, degrees): 12.2983 4.0214 14.5684 90.00 90.00 90.00
Last column: nearest neighbours and their distance in Å.
Atoms (fractional coordinates):
Sr  0.2394  0.2500  0.1670  8 Se 3.15-3.36
Sr  0.2606  0.7500  0.6670  8 Se 3.15-3.36
Sr  0.7394  0.2500  0.3330  8 Se 3.15-3.36
Sr  0.7606  0.7500  0.8330  8 Se 3.15-3.36
Lu  0.0610  0.2500  0.3898  6 Se 2.75-2.81
Lu  0.0824  0.2500  0.9027  6 Se 2.73-2.81
Lu  0.4176  0.7500  0.4027  6 Se 2.73-2.81
Lu  0.4390  0.7500  0.8898  6 Se 2.75-2.81
Lu  0.5610  0.2500  0.1102  6 Se 2.75-2.81
Lu  0.5824  0.2500  0.5973  6 Se 2.73-2.81
Lu  0.9176  0.7500  0.0973  6 Se 2.73-2.81
Lu  0.9390  0.7500  0.6102  6 Se 2.75-2.81
Se  0.0274  0.7500  0.7842  3 Lu 2.73-2.76
Se  0.0908  0.2500  0.5770  3 Lu 2.75-2.79
Se  0.1288  0.7500  0.0296  3 Lu 2.78-2.79
Se  0.2049  0.7500  0.3326  3 Lu 2.81
Se  0.2951  0.2500  0.8326  3 Lu 2.81
Se  0.3712  0.2500  0.5296  3 Lu 2.78-2.79
Se  0.4092  0.7500  0.0770  3 Lu 2.75-2.79
Se  0.4726  0.2500  0.2842  3 Lu 2.73-2.76
Se  0.5274  0.7500  0.7158  3 Lu 2.73-2.76
Se  0.5908  0.2500  0.9230  3 Lu 2.75-2.79
Se  0.6288  0.7500  0.4704  3 Lu 2.78-2.79
Se  0.7049  0.7500  0.1674  3 Lu 2.81
Se  0.7951  0.2500  0.6674  3 Lu 2.81
Se  0.8712  0.2500  0.9704  3 Lu 2.78-2.79
Se  0.9092  0.7500  0.4230  3 Lu 2.75-2.79
Se  0.9726  0.2500  0.2158  3 Lu 2.73-2.76

Summary:
The total energy comes out at -2.39952 Ry/atom. As for the space group: Pnma, No. 62.

# 8
## BaIr2W (meta-GGA SCAN)

Data for a crystal of BaIr2W relaxed with PBEsol.

Lattice parameters (Å, degrees): 6.7056 6.7056 6.7056 90.00 90.00 90.00
Last column: nearest neighbours and their distance in Å.
Atoms (fractional coordinates):
Ba  0.0000  0.0000  0.0000  8 Ir 2.90
Ba  0.0000  0.5000  0.5000  8 Ir 2.90
Ba  0.5000  0.0000  0.5000  8 Ir 2.90
Ba  0.5000  0.5000  0.0000  8 Ir 2.90
Ir  0.2500  0.2500  0.2500  4 W 2.90, 4 Ba 2.90
Ir  0.2500  0.2500  0.7500  4 Ba 2.90, 4 W 2.90
Ir  0.2500  0.7500  0.2500  4 Ba 2.90, 4 W 2.90
Ir  0.2500  0.7500  0.7500  4 Ba 2.90, 4 W 2.90
Ir  0.7500  0.2500  0.2500  4 Ba 2.90, 4 W 2.90
Ir  0.7500  0.2500  0.7500  4 Ba 2.90, 4 W 2.90
Ir  0.7500  0.7500  0.2500  4 Ba 2.90, 4 W 2.90
Ir  0.7500  0.7500  0.7500  4 Ba 2.90, 4 W 2.90
W  0.0000  0.0000  0.5000  8 Ir 2.90
W  0.0000  0.5000  0.0000  8 Ir 2.90
W  0.5000  0.0000  0.0000  8 Ir 2.90
W  0.5000  0.5000  0.5000  8 Ir 2.90

Summary:
The total energy comes out at -4.53323 Ry/atom. The calculation puts the formation energy from the elements at 1.1814 eV/atom. The energy above the most stable polymorph in this dataset comes out at 1087 meV/atom. As for the space group: Fm-3m, No. 225.

Copy entry 4 word for word.
## ReAsRu2 (meta-GGA SCAN)

Data for a crystal of ReAsRu2 relaxed with PBEsol.

Lattice parameters (Å, degrees): 4.4957 4.4957 2.8225 90.00 90.00 90.00
Last column: nearest neighbours and their distance in Å.
Atoms (fractional coordinates):
Re  0.0000  0.0000  0.0000  8 Ru 2.65, 2 Re 2.82
As  0.5000  0.5000  0.0000  8 Ru 2.65, 2 As 2.82
Ru  0.0000  0.5000  0.5000  4 As 2.65, 4 Re 2.65, 2 Ru 2.82
Ru  0.5000  0.0000  0.5000  4 As 2.65, 4 Re 2.65, 2 Ru 2.82

Summary:
The total energy comes out at -2.93171 Ry/atom. The calculation puts the formation energy from the elements at 0.3472 eV/atom. As for the space group: P4/mmm, No. 123.